A relaxed LiIrRh2 crystal. Source: the Alexandria database, functional PBE-GGA.

Geometry as extended XYZ:
```
4
Lattice="-1.044 1.927 -3.766 0.389 -2.344 -1.308 -4.460 -1.113 0.667" Properties=species:S:1:pos:R:3 pbc="T T T"
Ir -1.794 -1.973 -0.512
Rh -4.173 -1.347 0.468
Rh -1.796 0.342 -1.848
Li -3.848 -1.393 -2.167
```

Calculated values
N(E_F)	4.38	states/eV/cell
E_form	-114	meV per atom
energy above the lowest structure with this stoichiometry	0.008	eV per atom
VASP energy	-0.477	Ry/atom


A relaxed CdFe crystal. Source: the Alexandria database, functional PBE-GGA.

Geometry as extended XYZ:
```
6
Lattice="0.847 -4.870 -1.352 2.218 -3.100 -3.425 6.250 -1.977 2.445" Properties=species:S:1:pos:R:3 pbc="T T T"
Cd 6.002 -4.146 0.429
Cd 0.000 0.000 0.000
Cd 3.313 -5.800 -2.761
Fe 3.460 -3.472 -0.676
Fe 3.125 -0.988 1.223
Fe 5.855 -6.475 -1.655
```

Calculated values
N(E_F)	3.54	states/eV/cell
E_form	243	meV per atom
VASP energy	-0.327	Ry/atom